No. 1
Computed, not measured: a relaxed structure of LiAcPu2O8 at the PBE-GGA level of DFT.

Values from the calculation:
The space group is I-4m2, No. 119. For the formation energy without anion corrections, the calculation gives -2203 meV per atom. The total energy is -8.399 eV per atom. For the volume, the calculation gives 219.2 Å³/f.u. As for the total magnetic moment: 4.00 μB/f.u.

a = 6.5791 Å, b = 6.5791 Å, c = 6.5791 Å
α = 109.14°, β = 109.14°, γ = 110.13°
Fractional positions:
Li 0.0000 0.0000 0.0000
Ac 0.2500 0.7500 0.5000
Pu 0.5000 0.5000 0.0000
Pu 0.7500 0.2500 0.5000
O 0.3134 0.1342 0.8208
O 0.3134 0.4926 0.1792
O 0.3841 0.0580 0.3262
O 0.5074 0.6866 0.8208
O 0.7318 0.0580 0.6738
O 0.8658 0.6866 0.1792
O 0.9420 0.2682 0.3262
O 0.9420 0.6159 0.6738

***

No. 2
Computed, not measured: a relaxed structure of Li2AcPuO8 at the PBE-GGA level of DFT.

Values from the calculation:
The space group is P-3, No. 147. For the formation energy without anion corrections, the calculation gives -1695 meV per atom. The total energy is -6.856 eV per atom. For the volume, the calculation gives 163.6 Å³/f.u. As for the total magnetic moment: 2.98 μB/f.u.

a = 5.1934 Å, b = 5.1934 Å, c = 7.0059 Å
α = 90.00°, β = 90.00°, γ = 120.00°
Fractional positions:
Li 0.3333 0.6667 0.1656
Li 0.6667 0.3333 0.8344
Ac 0.0000 0.0000 0.5000
Pu 0.0000 0.0000 0.0000
O 0.0072 0.7147 0.8205
O 0.2853 0.2925 0.8205
O 0.2925 0.0072 0.1795
O 0.3333 0.6667 0.4881
O 0.6667 0.3333 0.5119
O 0.7075 0.9928 0.8205
O 0.7147 0.7075 0.1795
O 0.9928 0.2853 0.1795

***

No. 3
Computed, not measured: a relaxed structure of LiAc2PuO6 at the PBE-GGA level of DFT.

Values from the calculation:
The space group is P2_1/c, No. 14. For the formation energy without anion corrections, the calculation gives -2975 meV per atom. The total energy is -8.396 eV per atom. For the volume, the calculation gives 151.6 Å³/f.u. As for the total magnetic moment: 3.00 μB/f.u.

a = 5.9263 Å, b = 6.0998 Å, c = 10.2455 Å
α = 90.00°, β = 125.03°, γ = 90.00°
Fractional positions:
Li 0.0000 0.0000 0.0000
Li 0.0000 0.5000 0.5000
Ac 0.2384 0.0530 0.7492
Ac 0.2384 0.4470 0.2492
Ac 0.7616 0.5530 0.7508
Ac 0.7616 0.9470 0.2507
Pu 0.5000 0.0000 0.5000
Pu 0.5000 0.5000 0.0000
O 0.1608 0.1887 0.4519
O 0.1608 0.3113 0.9519
O 0.2518 0.7099 0.4431
O 0.2518 0.7901 0.9431
O 0.3575 0.0376 0.2559
O 0.3575 0.4624 0.7559
O 0.6425 0.5376 0.2441
O 0.6425 0.9624 0.7441
O 0.7482 0.2099 0.0569
O 0.7482 0.2901 0.5569
O 0.8392 0.6887 0.0481
O 0.8392 0.8113 0.5481

***

No. 4
Computed, not measured: a relaxed structure of LiAcPuO6 at the PBE-GGA level of DFT.

Values from the calculation:
The space group is P312, No. 149. For the formation energy without anion corrections, the calculation gives -2464 meV per atom. The total energy is -8.032 eV per atom. For the volume, the calculation gives 136.1 Å³/f.u. As for the total magnetic moment: 0.06 μB/f.u.

a = 5.4130 Å, b = 5.4130 Å, c = 5.3618 Å
α = 90.00°, β = 90.00°, γ = 120.00°
Fractional positions:
Li 0.0000 0.0000 0.0000
Ac 0.3333 0.6667 0.5000
Pu 0.6667 0.3333 0.0000
O 0.3568 0.0457 0.2106
O 0.3568 0.3111 0.7894
O 0.6889 0.0457 0.7894
O 0.6889 0.6432 0.2106
O 0.9543 0.3111 0.2106
O 0.9543 0.6432 0.7894

***

No. 5
Computed, not measured: a relaxed structure of LiAcPuO4 at the PBE-GGA level of DFT.

Values from the calculation:
The space group is Imma, No. 74. For the formation energy without anion corrections, the calculation gives -2772 meV per atom. The total energy is -8.513 eV per atom. For the volume, the calculation gives 140.8 Å³/f.u. As for the total magnetic moment: 4.00 μB/f.u.

a = 7.3913 Å, b = 7.3913 Å, c = 7.3913 Å
α = 124.80°, β = 116.04°, γ = 89.44°
Fractional positions:
Li 0.2753 0.0253 0.2500
Li 0.7247 0.9747 0.7500
Ac 0.0000 0.5000 0.5000
Ac 0.5000 0.5000 0.0000
Pu 0.0000 0.0000 0.5000
Pu 0.0000 0.5000 0.0000
O 0.1646 0.7351 0.4295
O 0.1944 0.2649 0.9295
O 0.2177 0.2320 0.5143
O 0.2177 0.7035 0.9857
O 0.7823 0.2965 0.0143
O 0.7823 0.7680 0.4857
O 0.8056 0.7351 0.0705
O 0.8354 0.2649 0.5705

***

No. 6
Computed, not measured: a relaxed structure of Li2AcPuO6 at the PBE-GGA level of DFT.

Values from the calculation:
The space group is R-3, No. 148. For the formation energy without anion corrections, the calculation gives -2584 meV per atom. The total energy is -7.786 eV per atom. For the volume, the calculation gives 143.3 Å³/f.u. As for the total magnetic moment: 1.00 μB/f.u.

a = 6.4914 Å, b = 6.4914 Å, c = 6.4914 Å
α = 49.06°, β = 49.06°, γ = 49.06°
Fractional positions:
Li 0.1937 0.1937 0.1937
Li 0.8063 0.8063 0.8063
Ac 0.0000 0.0000 0.0000
Pu 0.5000 0.5000 0.5000
O 0.1278 0.7462 0.4267
O 0.2538 0.5733 0.8722
O 0.4267 0.1278 0.7462
O 0.5733 0.8722 0.2538
O 0.7462 0.4266 0.1278
O 0.8722 0.2538 0.5733